# CsSrLuTe3, optimized geometry, DFT PBE
# - crystal system = orthorhombic
# - energy (eV/atom) = -4.112
data_CsSrLuTe3
_chemical_formula_sum 'Cs4 Sr4 Lu4 Te12'
_symmetry_space_group_name_H-M 'C m c m'
_symmetry_Int_Tables_number 63
_symmetry_space_group_name_Hall '-C 2c 2'
_cell_length_a 4.919
_cell_length_b 17.319
_cell_length_c 12.946
_cell_angle_alpha 90.00
_cell_angle_beta 90.00
_cell_angle_gamma 90.00
loop_
_atom_site_label
_atom_site_type_symbol
_atom_site_fract_x
_atom_site_fract_y
_atom_site_fract_z
Cs1 Cs 0.000 0.247 0.250
Sr1 Sr 0.000 0.500 0.000
Lu1 Lu 0.000 0.033 0.750
Te1 Te 0.000 0.124 0.568
Te2 Te 0.000 0.438 0.750


# RbDySeO, optimized geometry, DFT PBE
# - crystal system = monoclinic
# - excess energy over the best structure of this formula in the dataset (meV/atom) = 10
data_RbDySeO
_chemical_formula_sum 'Rb4 Dy4 Se4 O4'
_symmetry_space_group_name_H-M 'C 1 2 1'
_symmetry_Int_Tables_number 5
_cell_length_a 5.822
_cell_length_b 5.822
_cell_length_c 12.084
_cell_angle_alpha 90.00
_cell_angle_beta 103.91
_cell_angle_gamma 90.00
loop_
_symmetry_equiv_pos_as_xyz
'x,y,z'
'-x,y,-z'
'x+1/2,y+1/2,z'
'-x+1/2,y+1/2,-z'
loop_
_atom_site_label
_atom_site_type_symbol
_atom_site_fract_x
_atom_site_fract_y
_atom_site_fract_z
Rb1 Rb 0.198 0.000 0.392
Dy1 Dy 0.207 0.252 0.914
Se1 Se 0.138 0.499 0.270
O1 O 0.000 0.003 0.000
O2 O 0.000 0.503 0.000


# SmHfPO, optimized geometry, DFT PBE
# - crystal system = orthorhombic
# - excess energy over the best structure of this formula in the dataset (meV/atom) = 177
data_SmHfPO
_chemical_formula_sum 'Sm2 Hf2 P2 O2'
_symmetry_space_group_name_H-M 'P m m a'
_symmetry_Int_Tables_number 51
_cell_length_a 5.160
_cell_length_b 4.011
_cell_length_c 7.418
_cell_angle_alpha 90.00
_cell_angle_beta 90.00
_cell_angle_gamma 90.00
loop_
_symmetry_equiv_pos_as_xyz
'x,y,z'
'-x,-y,-z'
'-x+1/2,-y,z'
'x+1/2,y,-z'
'x+1/2,-y,-z'
'-x+1/2,y,z'
'-x,y,-z'
'x,-y,z'
loop_
_atom_site_label
_atom_site_type_symbol
_atom_site_fract_x
_atom_site_fract_y
_atom_site_fract_z
Sm1 Sm 0.250 0.000 0.136
Hf1 Hf 0.250 0.500 0.724
P1 P 0.250 0.500 0.381
O1 O 0.250 0.000 0.810


# CsDyPb, optimized geometry, DFT PBE
# - crystal system = cubic
# - energy (eV/atom) = -2.237
data_CsDyPb
_chemical_formula_sum 'Cs4 Dy4 Pb4'
_symmetry_space_group_name_H-M 'F -4 3 m'
_symmetry_Int_Tables_number 216
_symmetry_space_group_name_Hall 'F -4 2 3'
_cell_length_a 7.865
_cell_length_b 7.865
_cell_length_c 7.865
_cell_angle_alpha 90.00
_cell_angle_beta 90.00
_cell_angle_gamma 90.00
loop_
_atom_site_label
_atom_site_type_symbol
_atom_site_fract_x
_atom_site_fract_y
_atom_site_fract_z
Cs1 Cs 0.000 0.000 0.000
Dy1 Dy 0.250 0.250 0.250
Pb1 Pb 0.250 0.250 0.750


Quick rundown of theoretical density, same order as above: 4.69 5.73 8.13 6.86 g/cm3